[1]
Cr2Pt2Br: optimized geometry, PBEsol.

Structure (CIF):
```
data_Cr2Pt2Br
_space_group_name_H-M_alt 'I 4/m m m'
_space_group_IT_number 139
_space_group_name_Hall '-I 4 2'
_cell_length_a 3.685
_cell_length_b 3.685
_cell_length_c 11.732
_cell_angle_alpha 90.00
_cell_angle_beta 90.00
_cell_angle_gamma 90.00
loop_
_atom_site_label
_atom_site_type_symbol
_atom_site_fract_x
_atom_site_fract_y
_atom_site_fract_z
Cr1 Cr 0.000 0.000 0.098
Pt1 Pt 0.000 0.500 0.250
Br1 Br 0.000 0.000 0.500
```

* volume: 15.929 Å³/atom
* energy relative to the elements, uncorrected: 504 meV/atom

---

[2]
AsIrOs2: optimized geometry, PBEsol.

Structure (CIF):
```
data_AsIrOs2
_space_group_name_H-M_alt 'C 1 m 1'
_space_group_IT_number 8
_space_group_name_Hall 'C -2y'
_cell_length_a 9.159
_cell_length_b 2.812
_cell_length_c 4.513
_cell_angle_alpha 90.00
_cell_angle_beta 92.60
_cell_angle_gamma 90.00
loop_
_atom_site_label
_atom_site_type_symbol
_atom_site_fract_x
_atom_site_fract_y
_atom_site_fract_z
As1 As 0.000 0.000 0.000
Ir1 Ir 0.271 0.500 0.252
Os1 Os 0.002 0.500 0.509
Os2 Os 0.228 0.000 0.731
```

* volume: 14.513 Å³/atom
* energy of formation from the pure elements: 1.252 eV per formula unit

---

[3]
ReMo3: optimized geometry, PBEsol.

Structure (CIF):
```
data_ReMo3
_space_group_name_H-M_alt 'P m -3 m'
_space_group_IT_number 221
_space_group_name_Hall '-P 4 2 3'
_cell_length_a 3.934
_cell_length_b 3.934
_cell_length_c 3.934
_cell_angle_alpha 90.00
_cell_angle_beta 90.00
_cell_angle_gamma 90.00
loop_
_atom_site_label
_atom_site_type_symbol
_atom_site_fract_x
_atom_site_fract_y
_atom_site_fract_z
Re1 Re 0.000 0.000 0.000
Mo1 Mo 0.000 0.500 0.500
```

* volume: 15.226 Å³/atom
* energy of formation from the pure elements: 1.254 eV per formula unit

---

[4]
BaTaMo4: optimized geometry, PBEsol.

Structure (CIF):
```
data_BaTaMo4
_space_group_name_H-M_alt 'F -4 3 m'
_space_group_IT_number 216
_space_group_name_Hall 'F -4 2 3'
_cell_length_a 7.641
_cell_length_b 7.641
_cell_length_c 7.641
_cell_angle_alpha 90.00
_cell_angle_beta 90.00
_cell_angle_gamma 90.00
loop_
_atom_site_label
_atom_site_type_symbol
_atom_site_fract_x
_atom_site_fract_y
_atom_site_fract_z
Ba1 Ba 0.000 0.000 0.000
Ta1 Ta 0.250 0.250 0.750
Mo1 Mo 0.125 0.125 0.375
```

* volume: 18.588 Å³/atom
* energy of formation from the pure elements: 4.768 eV per formula unit

---

[5]
BeTcI2: optimized geometry, PBEsol.

Structure (CIF):
```
data_BeTcI2
_space_group_name_H-M_alt 'I -4 2 d'
_space_group_IT_number 122
_space_group_name_Hall 'I -4 2bw'
_cell_length_a 5.776
_cell_length_b 5.776
_cell_length_c 11.299
_cell_angle_alpha 90.00
_cell_angle_beta 90.00
_cell_angle_gamma 90.00
loop_
_atom_site_label
_atom_site_type_symbol
_atom_site_fract_x
_atom_site_fract_y
_atom_site_fract_z
Be1 Be 0.000 0.000 0.000
Tc1 Tc 0.000 0.000 0.500
I1 I 0.226 0.250 0.125
```

* volume: 23.562 Å³/atom
* energy relative to the elements, uncorrected: 806 meV/atom

---

[6]
YMnNb2Re: optimized geometry, PBEsol.

Structure (CIF):
```
data_YMnNb2Re
_space_group_name_H-M_alt 'P 4/m m m'
_space_group_IT_number 123
_space_group_name_Hall '-P 4 2'
_cell_length_a 4.585
_cell_length_b 4.585
_cell_length_c 4.597
_cell_angle_alpha 90.00
_cell_angle_beta 90.00
_cell_angle_gamma 90.00
loop_
_atom_site_label
_atom_site_type_symbol
_atom_site_fract_x
_atom_site_fract_y
_atom_site_fract_z
Y1 Y 0.000 0.000 0.000
Mn1 Mn 0.500 0.500 0.500
Nb1 Nb 0.000 0.500 0.500
Re1 Re 0.500 0.500 0.000
```

* volume: 19.328 Å³/atom
* energy of formation from the pure elements: 3.128 eV per formula unit